(1)
Here is an optimized crystal structure of Li4C23 from Alexandria via LeMat-Bulk. Energies are from PBE.

E_form: 14.8 eV per formula unit
E_tot: -0.5581 Ry per atom
Space group: Pm-3n (223)

Lattice parameters (Å, degrees): 6.8365 6.8365 6.8365 90.00 90.00 90.00
Closest atoms and distances in Å follow each position.
Atoms (fractional coordinates):
C (0.1952, 0.5000, 0.3795)  4 C 1.57-1.65
C (0.1952, 0.5000, 0.6205)  4 C 1.57-1.65
C (0.5000, 0.7500, 0.0000)  4 C 1.60
C (0.0000, 0.5000, 0.7500)  4 C 1.60
C (0.8795, 0.0000, 0.3048)  4 C 1.57-1.65
C (0.3795, 0.1952, 0.5000)  4 C 1.57-1.65
Li (0.5000, 0.5000, 0.5000)  20 C 2.20-2.24
C (0.3048, 0.8795, 0.0000)  4 C 1.57-1.65
C (0.6205, 0.1952, 0.5000)  4 C 1.57-1.65
C (0.3145, 0.3145, 0.6855)  4 C 1.53-1.57
C (0.1205, 0.0000, 0.3048)  4 C 1.57-1.65
C (0.0000, 0.6952, 0.8795)  4 C 1.57-1.65
C (0.8145, 0.8145, 0.1855)  4 C 1.53-1.57
C (0.6855, 0.3145, 0.6855)  4 C 1.53-1.57
C (0.5000, 0.6205, 0.8048)  4 C 1.57-1.65
C (0.0000, 0.6952, 0.1205)  4 C 1.57-1.65
C (0.1205, 0.0000, 0.6952)  4 C 1.57-1.65
C (0.6952, 0.8795, 0.0000)  4 C 1.57-1.65
C (0.6855, 0.3145, 0.3145)  4 C 1.53-1.57
C (0.6205, 0.8048, 0.5000)  4 C 1.57-1.65
C (0.6855, 0.6855, 0.3145)  4 C 1.53-1.57
C (0.0000, 0.3048, 0.1205)  4 C 1.57-1.65
Li (0.5000, 0.0000, 0.7500)  20 C 2.32-2.53
Li (0.0000, 0.2500, 0.5000)  20 C 2.32-2.53
C (0.3145, 0.3145, 0.3145)  4 C 1.53-1.57
C (0.8048, 0.5000, 0.3795)  4 C 1.57-1.65
Li (0.0000, 0.7500, 0.5000)  20 C 2.32-2.53
C (0.5000, 0.3795, 0.8048)  4 C 1.57-1.65
C (0.8795, 0.0000, 0.6952)  4 C 1.57-1.65
C (0.5000, 0.3795, 0.1952)  4 C 1.57-1.65
Li (0.5000, 0.0000, 0.2500)  20 C 2.32-2.53
C (0.8048, 0.5000, 0.6205)  4 C 1.57-1.65
C (0.1855, 0.1855, 0.1855)  4 C 1.53-1.57
Li (0.7500, 0.5000, 0.0000)  20 C 2.32-2.53
C (0.8145, 0.1855, 0.1855)  4 C 1.53-1.57
C (0.5000, 0.2500, 0.0000)  4 C 1.60
C (0.6855, 0.6855, 0.6855)  4 C 1.53-1.57
C (0.7500, 0.0000, 0.5000)  4 C 1.60
C (0.3145, 0.6855, 0.6855)  4 C 1.53-1.57
C (0.8145, 0.8145, 0.8145)  4 C 1.53-1.57
C (0.3145, 0.6855, 0.3145)  4 C 1.53-1.57
C (0.8145, 0.1855, 0.8145)  4 C 1.53-1.57
C (0.1855, 0.8145, 0.1855)  4 C 1.53-1.57
Li (0.2500, 0.5000, 0.0000)  20 C 2.32-2.53
C (0.1855, 0.1855, 0.8145)  4 C 1.53-1.57
C (0.3048, 0.1205, 0.0000)  4 C 1.57-1.65
C (0.3795, 0.8048, 0.5000)  4 C 1.57-1.65
C (0.5000, 0.6205, 0.1952)  4 C 1.57-1.65
Li (0.0000, 0.0000, 0.0000)  20 C 2.20-2.24
C (0.1855, 0.8145, 0.8145)  4 C 1.53-1.57
C (0.6952, 0.1205, 0.0000)  4 C 1.57-1.65
C (0.0000, 0.3048, 0.8795)  4 C 1.57-1.65
C (0.2500, 0.0000, 0.5000)  4 C 1.60
C (0.0000, 0.5000, 0.2500)  4 C 1.60



(2)
Here is an optimized crystal structure of LaEr2S3 from Alexandria via LeMat-Bulk. Energies are from PBE.

E_tot: -0.4711 Ry per atom
Space group: Immm (71)

Lattice parameters (Å, degrees): 3.9248 5.6374 6.8965 114.12 106.53 90.00
Closest atoms and distances in Å follow each position.
Atoms (fractional coordinates):
S (0.3196, 0.3196, 0.6391)  4 Er 2.73-2.83, 2 La 2.92
Er (0.6612, 0.1612, 0.3224)  6 S 2.73-2.83
S (0.0000, 0.0000, 0.0000)  4 Er 2.75, 2 La 2.82
S (0.6804, 0.6804, 0.3609)  4 Er 2.73-2.83, 2 La 2.92
La (0.0000, 0.5000, 0.0000)  6 S 2.82-2.92
Er (0.3388, 0.8388, 0.6776)  6 S 2.73-2.83



(3)
Here is an optimized crystal structure of Ac6InPb3 from Alexandria via LeMat-Bulk. Energies are from PBE.

E_form: -3.2 eV per formula unit
E_tot: -0.3064 Ry per atom
Space group: Cmc2_1 (36)

Lattice parameters (Å, degrees): 8.5217 10.1622 10.1622 112.27 90.00 90.00
Closest atoms and distances in Å follow each position.
Atoms (fractional coordinates):
Pb (0.9281, 0.0527, 0.2847)  6 Ac 3.32-3.65, 1 In 3.56
Ac (0.7443, 0.5091, 0.0899)  3 Pb 3.35-3.46, 1 In 3.50
In (0.0839, 0.1545, 0.8455)  7 Ac 3.40-3.75, 2 Pb 3.56
Pb (0.2764, 0.4420, 0.5580)  8 Ac 3.43-3.82
Ac (0.3867, 0.6616, 0.3384)  1 In 3.53, 4 Pb 3.75-3.85, 2 Ac 3.89
Pb (0.9281, 0.7153, 0.9473)  6 Ac 3.32-3.65, 1 In 3.56
Ac (0.2443, 0.4909, 0.9101)  3 Pb 3.35-3.46, 1 In 3.50
Pb (0.4281, 0.9473, 0.7153)  6 Ac 3.32-3.65, 1 In 3.56
Ac (0.0722, 0.3379, 0.2423)  4 Pb 3.32-3.52
Ac (0.2493, 0.9553, 0.0447)  2 In 3.40-3.65, 4 Pb 3.55-3.65
Ac (0.5722, 0.6621, 0.7577)  4 Pb 3.32-3.52
Pb (0.4281, 0.2847, 0.0527)  6 Ac 3.32-3.65, 1 In 3.56
Ac (0.7443, 0.9101, 0.4909)  3 Pb 3.35-3.46, 1 In 3.50
Ac (0.8867, 0.3384, 0.6616)  1 In 3.53, 4 Pb 3.75-3.85, 2 Ac 3.89
Ac (0.5722, 0.2423, 0.3379)  4 Pb 3.32-3.52
In (0.5839, 0.8455, 0.1545)  7 Ac 3.40-3.75, 2 Pb 3.56
Ac (0.0722, 0.7577, 0.6621)  4 Pb 3.32-3.52
Pb (0.7764, 0.5580, 0.4420)  8 Ac 3.43-3.82
Ac (0.2443, 0.0899, 0.5091)  3 Pb 3.35-3.46, 1 In 3.50
Ac (0.7493, 0.0447, 0.9553)  2 In 3.40-3.65, 4 Pb 3.55-3.65



(4)
Here is an optimized crystal structure of VTc2As from Alexandria via LeMat-Bulk. Energies are from PBE.

E_form: 1.2 eV per formula unit
E_tot: -0.6117 Ry per atom
Space group: I-42d (122)

Lattice parameters (Å, degrees): 3.7203 3.7203 9.4111 78.60 78.60 90.00
Closest atoms and distances in Å follow each position.
Atoms (fractional coordinates):
V (0.2500, 0.7500, 0.5000)  4 As 2.63, 4 Tc 2.65
Tc (0.6540, 0.1250, 0.2500)  2 Tc 2.48, 2 As 2.58, 2 V 2.65
Tc (0.8750, 0.9040, 0.7500)  2 Tc 2.48, 2 As 2.58, 2 V 2.65
As (0.7500, 0.2500, 0.5000)  4 Tc 2.58, 4 V 2.63
Tc (0.3750, 0.3460, 0.7500)  2 Tc 2.48, 2 As 2.58, 2 V 2.65
As (0.0000, 0.0000, 0.0000)  4 Tc 2.58, 4 V 2.63
V (0.5000, 0.5000, 0.0000)  4 As 2.63, 4 Tc 2.65
Tc (0.0960, 0.6250, 0.2500)  2 Tc 2.48, 2 As 2.58, 2 V 2.65



(5)
Here is an optimized crystal structure of Rb3DyNp2Se6 from Alexandria via LeMat-Bulk. Energies are from PBE.

E_tot: -0.4350 Ry per atom
Space group: C2/m (12)

Lattice parameters (Å, degrees): 7.4254 7.4254 8.3687 98.50 98.50 120.00
Closest atoms and distances in Å follow each position.
Atoms (fractional coordinates):
Se (0.0653, 0.3961, 0.1960)  1 Dy 2.91, 2 Np 2.94
Se (0.6039, 0.9347, 0.8040)  1 Dy 2.91, 2 Np 2.94
Se (0.2655, 0.2655, 0.8041)  1 Dy 2.91, 2 Np 2.94
Np (0.3333, 0.6667, 0.0000)  6 Se 2.94
Se (0.7345, 0.7345, 0.1959)  1 Dy 2.91, 2 Np 2.94
Se (0.9347, 0.6039, 0.8040)  1 Dy 2.91, 2 Np 2.94
Rb (0.8334, 0.1666, 0.5000)  6 Se 3.46-3.48
Rb (0.1666, 0.8334, 0.5000)  6 Se 3.46-3.48
Se (0.3961, 0.0653, 0.1960)  1 Dy 2.91, 2 Np 2.94
Rb (0.5000, 0.5000, 0.5000)  6 Se 3.46-3.48
Np (0.6667, 0.3333, 0.0000)  6 Se 2.94
Dy (0.0000, 0.0000, 0.0000)  6 Se 2.91



(6)
Here is an optimized crystal structure of PmErSn from Alexandria via LeMat-Bulk. Energies are from PBE.

E_form: 0.5 eV per formula unit
E_tot: -0.3143 Ry per atom
Space group: I4mm (107)

Lattice parameters (Å, degrees): 3.2938 3.2938 9.2925 100.21 100.21 90.00
Closest atoms and distances in Å follow each position.
Atoms (fractional coordinates):
Pm (0.1373, 0.1373, 0.2747)  4 Pm 3.29, 4 Sn 3.35, 1 Er 3.52
Er (0.9416, 0.9416, 0.8833)  1 Sn 3.07, 4 Er 3.29
Sn (0.7710, 0.7710, 0.5421)  1 Er 3.07, 4 Sn 3.29, 4 Pm 3.35



(7)
Here is an optimized crystal structure of MgAg3O from Alexandria via LeMat-Bulk. Energies are from PBE.

E_tot: -0.1453 Ry per atom
Space group: Pm-3m (221)

Lattice parameters (Å, degrees): 4.8821 4.8821 4.8821 90.00 90.00 90.00
Closest atoms and distances in Å follow each position.
Atoms (fractional coordinates):
Ag (0.0000, 0.5000, 0.0000)  2 Mg 2.44
Mg (0.0000, 0.0000, 0.0000)  6 Ag 2.44
Ag (0.0000, 0.0000, 0.5000)  2 Mg 2.44
Ag (0.5000, 0.0000, 0.0000)  2 Mg 2.44
O (0.5000, 0.5000, 0.5000)  12 Ag 3.45



(8)
Here is an optimized crystal structure of LiPt2Cl from Alexandria via LeMat-Bulk. Energies are from PBE.

E_tot: -0.3057 Ry per atom
Space group: C2/m (12)

Lattice parameters (Å, degrees): 5.6162 5.6162 2.9021 74.92 74.92 122.60
Closest atoms and distances in Å follow each position.
Atoms (fractional coordinates):
Li (0.0000, 0.5000, 0.5000)  4 Cl 2.69-2.70, 4 Pt 2.81, 2 Li 2.90
Cl (0.5000, 0.0000, 0.5000)  4 Li 2.69-2.70, 4 Pt 2.81, 2 Cl 2.90
Pt (0.5000, 0.5000, 0.0000)  6 Pt 2.69-2.90, 2 Li 2.81, 2 Cl 2.81
Pt (0.0000, 0.0000, 0.0000)  6 Pt 2.69-2.90, 2 Cl 2.81, 2 Li 2.81